No. 1
The following is a DFT calculation (PBE-GGA) of a relaxed Be2AlRe crystal.

Properties
Theoretical density in g/cm3: 8.301
Formation energy from the elements in meV/atom: -109
Final energy in eV per formula unit: -24.078
Total magnetization in μB per formula unit: 0.00

Unit cell a=3.4856 b=3.4856 c=7.6142 alpha=90.00 beta=90.00 gamma=90.00
With the nearest neighbours (Å) after each atom.
Space group I4/mmm (No. 139)
One atom of each set of equivalent atoms:
Be (0.0000, 0.5000, 0.2500) [4 per cell]  4 Be 2.46, 4 Re 2.58, 4 Al 2.58
Al (0.0000, 0.0000, 0.0000) [2 per cell]  4 Re 2.46, 8 Be 2.58
Re (0.0000, 0.0000, 0.5000) [2 per cell]  4 Al 2.46, 8 Be 2.58


No. 2
The following is a DFT calculation (PBE-GGA) of a relaxed CrOs3Au crystal.

Properties
Theoretical density in g/cm3: 15.464
Formation energy from the elements in meV/atom: 1751
Final energy in eV per formula unit: -37.834
Total magnetization in μB per formula unit: 1.18
Offset from the most stable computed form in meV/atom: 0

Unit cell a=4.4482 b=4.4482 c=4.4482 alpha=90.00 beta=90.00 gamma=90.00
With the nearest neighbours (Å) after each atom.
Space group Pm-3m (No. 221)
One atom of each set of equivalent atoms:
Cr (0.0000, 0.0000, 0.0000) [1 per cell]  6 Os 2.22
Os (0.0000, 0.0000, 0.5000) [3 per cell]  2 Cr 2.22
Au (0.5000, 0.5000, 0.5000) [1 per cell]  12 Os 3.15


No. 3
The following is a DFT calculation (PBE-GGA) of a relaxed Ca3Ti5O12 crystal.

Properties
Theoretical density in g/cm3: 3.615
Formation energy without anion corrections in eV/atom: -3.068
Final energy in eV per formula unit: -166.332
Total magnetization in μB per formula unit: 2.03

Unit cell a=12.6554 b=12.6554 c=12.6554 alpha=90.00 beta=90.00 gamma=90.00
With the nearest neighbours (Å) after each atom.
Space group Ia-3d (No. 230)
One atom of each set of equivalent atoms:
Ca (0.0000, 0.2500, 0.1250) [24 per cell]  8 O 2.44-2.58
Ti (0.0000, 0.0000, 0.0000) [16 per cell]  6 O 2.04
Ti (0.0000, 0.2500, 0.3750) [24 per cell]  4 O 1.85
O (0.0316, 0.0505, 0.6498) [96 per cell]  2 Ti 1.85-2.04


No. 4
The following is a DFT calculation (PBE-GGA) of a relaxed Zn3Cu5 crystal.

Properties
Theoretical density in g/cm3: 8.326
Formation energy from the elements in meV/atom: -60
Final energy in eV per formula unit: -24.781
Total magnetization in μB per formula unit: 0.00
Offset from the most stable computed form in meV/atom: 16

Unit cell a=3.0856 b=3.0856 c=10.7662 alpha=90.00 beta=90.00 gamma=90.00
With the nearest neighbours (Å) after each atom.
Space group P4/mmm (No. 123)
One atom of each set of equivalent atoms:
Zn (0.0000, 0.0000, 0.0000) [1 per cell]  10 Cu 2.56-2.66
Zn (0.5000, 0.5000, 0.3708) [2 per cell]  9 Cu 2.56-2.65, 1 Zn 2.78
Cu (0.0000, 0.0000, 0.2470) [2 per cell]  5 Cu 2.55-2.72, 5 Zn 2.56-2.66
Cu (0.0000, 0.0000, 0.5000) [1 per cell]  8 Zn 2.59, 2 Cu 2.72
Cu (0.5000, 0.5000, 0.1247) [2 per cell]  5 Cu 2.55-2.68, 5 Zn 2.56-2.65


No. 5
The following is a DFT calculation (PBE-GGA) of a relaxed K3GaAg crystal.

Properties
Theoretical density in g/cm3: 1.889
Formation energy from the elements in meV/atom: 300
Final energy in eV per formula unit: -7.672
Total magnetization in μB per formula unit: 0.00
Offset from the most stable computed form in meV/atom: 0

Unit cell a=6.3766 b=6.3766 c=6.3766 alpha=90.00 beta=90.00 gamma=90.00
With the nearest neighbours (Å) after each atom.
Space group Pm-3m (No. 221)
One atom of each set of equivalent atoms:
K (0.0000, 0.0000, 0.5000) [3 per cell]  2 Ag 3.19
Ga (0.5000, 0.5000, 0.5000) [1 per cell]  12 K 4.51
Ag (0.0000, 0.0000, 0.0000) [1 per cell]  6 K 3.19


No. 6
The following is a DFT calculation (PBE-GGA) of a relaxed CsNbAg2Pd crystal.

Properties
Theoretical density in g/cm3: 5.322
Formation energy from the elements in meV/atom: 1988
Final energy in eV per formula unit: -11.878
Total magnetization in μB per formula unit: 3.95

Unit cell a=5.7722 b=5.7722 c=5.1318 alpha=90.00 beta=90.00 gamma=90.00
With the nearest neighbours (Å) after each atom.
Space group P4/mmm (No. 123)
One atom of each set of equivalent atoms:
Cs (0.0000, 0.0000, 0.0000) [1 per cell]  2 Pd 2.57
Nb (0.5000, 0.5000, 0.5000) [1 per cell]  8 Ag 3.86, 4 Pd 4.08
Ag (0.0000, 0.5000, 0.0000) [2 per cell]  2 Cs 2.89
Pd (0.0000, 0.0000, 0.5000) [1 per cell]  2 Cs 2.57


No. 7
The following is a DFT calculation (PBE-GGA) of a relaxed Pa3Tl4Te8Au crystal.

Properties
Theoretical density in g/cm3: 8.225
Formation energy without anion corrections in eV/atom: -0.514
Final energy in eV per formula unit: -74.591
Total magnetization in μB per formula unit: 3.98

Unit cell a=15.1283 b=8.7162 c=9.7630 alpha=90.00 beta=121.15 gamma=90.00
With the nearest neighbours (Å) after each atom.
Space group C2/m (No. 12)
One atom of each set of equivalent atoms:
Pa (0.0000, 0.0000, 0.0000) [2 per cell]  6 Te 3.09-3.11
Pa (0.2500, 0.2500, 0.0000) [4 per cell]  6 Te 3.09-3.11
Tl (0.0000, 0.0000, 0.5000) [2 per cell]  6 Te 3.48-3.49
Tl (0.0000, 0.5000, 0.5000) [2 per cell]  6 Te 3.44-3.48
Tl (0.2500, 0.2500, 0.5000) [4 per cell]  6 Te 3.44-3.48
Te (0.0121, 0.2517, 0.7877) [8 per cell]  1 Au 3.07, 2 Pa 3.09
Te (0.2373, 0.5000, 0.2131) [4 per cell]  1 Au 3.08, 2 Pa 3.09
Te (0.2396, 0.0000, 0.2191) [4 per cell]  3 Pa 3.11, 3 Tl 3.44
Au (0.0000, 0.5000, 0.0000) [2 per cell]  6 Te 3.07-3.08


No. 8
The following is a DFT calculation (PBE-GGA) of a relaxed Pm2SmY2 crystal.

Properties
Theoretical density in g/cm3: 6.114
Formation energy from the elements in meV/atom: 111
Final energy in eV per formula unit: -26.596
Total magnetization in μB per formula unit: 0.00
Offset from the most stable computed form in meV/atom: 109

Unit cell a=12.5633 b=5.9300 c=9.6519 alpha=90.00 beta=110.93 gamma=90.00
With the nearest neighbours (Å) after each atom.
Space group C2/m (No. 12)
One atom of each set of equivalent atoms:
Pm (0.1531, 0.0000, 0.0424) [4 per cell]  4 Y 3.45-3.72, 4 Pm 3.61-3.68, 2 Sm 3.62-3.71
Pm (0.2412, 0.5000, 0.2675) [4 per cell]  5 Y 3.43-3.80, 3 Pm 3.61-3.68, 2 Sm 3.67-3.71
Sm (0.0493, 0.0000, 0.3477) [4 per cell]  5 Y 3.55-3.63, 1 Sm 3.58, 4 Pm 3.62-3.71
Y (0.0511, 0.5000, 0.8603) [4 per cell]  2 Y 3.38-3.44, 4 Pm 3.43-3.49, 2 Sm 3.55
Y (0.1444, 0.5000, 0.5663) [4 per cell]  2 Y 3.39-3.44, 4 Pm 3.43-3.72, 3 Sm 3.59-3.63


> Which value of total magnetization does entry 7 give?

3.98 μB per formula unit